[1]
Here is crystalline NiB4Pb at its relaxed geometry from the Open Quantum Materials Database. Energies are from PBE-GGA.

```
data_NiB4Pb
_chemical_formula_sum 'Ni2 B8 Pb2'
_symmetry_space_group_name_H-M 'I m m m'
_symmetry_Int_Tables_number 71
_symmetry_space_group_name_Hall '-I 2 2'
_cell_length_a 3.020
_cell_length_b 5.411
_cell_length_c 7.989
_cell_angle_alpha 90.00
_cell_angle_beta 90.00
_cell_angle_gamma 90.00
loop_
_atom_site_label
_atom_site_type_symbol
_atom_site_fract_x
_atom_site_fract_y
_atom_site_fract_z
_atom_site_occupancy
Ni1 Ni 0.000 0.000 0.000 1
B1 B 0.000 0.341 0.262 1
Pb1 Pb 0.000 0.000 0.500 1
```

Results
Energy relative to the lowest polymorph listed for this composition, meV per atom: 281.2


[2]
Here is crystalline NiB4Pb at its relaxed geometry from the Open Quantum Materials Database. Energies are from PBE-GGA.

```
data_NiB4Pb
_chemical_formula_sum 'Ni1 B4 Pb1'
_symmetry_space_group_name_H-M 'P 6/m m m'
_symmetry_Int_Tables_number 191
_symmetry_space_group_name_Hall '-P 6 2'
_cell_length_a 3.0648
_cell_length_b 3.0648
_cell_length_c 8.2310
_cell_angle_alpha 90.00
_cell_angle_beta 90.00
_cell_angle_gamma 120.00
loop_
_atom_site_label
_atom_site_type_symbol
_atom_site_fract_x
_atom_site_fract_y
_atom_site_fract_z
_atom_site_occupancy
Ni1 Ni 0.0000 0.0000 0.0000 1
B1 B 0.3333 0.6667 0.1732 1
Pb1 Pb 0.0000 0.0000 0.5000 1
```

Results
Energy relative to the lowest polymorph listed for this composition, meV per atom: 0.0


[3]
Here is crystalline NiB2Pb at its relaxed geometry from the Open Quantum Materials Database. Energies are from PBE-GGA.

```
data_NiB2Pb
_chemical_formula_sum 'Ni4 B8 Pb4'
_symmetry_space_group_name_H-M 'F -4 3 m'
_symmetry_Int_Tables_number 216
_symmetry_space_group_name_Hall 'F -4 2 3'
_cell_length_a 6.023
_cell_length_b 6.023
_cell_length_c 6.023
_cell_angle_alpha 90.00
_cell_angle_beta 90.00
_cell_angle_gamma 90.00
loop_
_atom_site_label
_atom_site_type_symbol
_atom_site_fract_x
_atom_site_fract_y
_atom_site_fract_z
_atom_site_occupancy
Ni1 Ni 0.000 0.000 0.000 1
B1 B 0.000 0.000 0.500 1
B2 B 0.250 0.250 0.250 1
Pb1 Pb 0.250 0.250 0.750 1
```

Results
Calculated total energy, eV per cell: -63.94


[4]
Here is crystalline NiBPd at its relaxed geometry from the Open Quantum Materials Database. Energies are from PBE-GGA.

```
data_NiBPd
_chemical_formula_sum 'Ni4 B4 Pd4'
_symmetry_space_group_name_H-M 'F -4 3 m'
_symmetry_Int_Tables_number 216
_symmetry_space_group_name_Hall 'F -4 2 3'
_cell_length_a 5.385
_cell_length_b 5.385
_cell_length_c 5.385
_cell_angle_alpha 90.00
_cell_angle_beta 90.00
_cell_angle_gamma 90.00
loop_
_atom_site_label
_atom_site_type_symbol
_atom_site_fract_x
_atom_site_fract_y
_atom_site_fract_z
_atom_site_occupancy
Ni1 Ni 0.000 0.000 0.000 1
B1 B 0.000 0.000 0.500 1
Pd1 Pd 0.250 0.250 0.750 1
```

Results
Calculated total energy, eV per cell: -60.97


[5]
Here is crystalline Ni2B2Pd at its relaxed geometry from the Open Quantum Materials Database. Energies are from PBE-GGA.

```
data_Ni2B2Pd
_chemical_formula_sum 'Ni4 B4 Pd2'
_symmetry_space_group_name_H-M 'I 4/m m m'
_symmetry_Int_Tables_number 139
_symmetry_space_group_name_Hall '-I 4 2'
_cell_length_a 3.381
_cell_length_b 3.381
_cell_length_c 8.966
_cell_angle_alpha 90.00
_cell_angle_beta 90.00
_cell_angle_gamma 90.00
loop_
_atom_site_label
_atom_site_type_symbol
_atom_site_fract_x
_atom_site_fract_y
_atom_site_fract_z
_atom_site_occupancy
Ni1 Ni 0.000 0.000 0.134 1
B1 B 0.000 0.500 0.250 1
Pd1 Pd 0.000 0.000 0.500 1
```

Results
Calculated total energy, eV per cell: -57.67


[6]
Here is crystalline NiBPd at its relaxed geometry from the Open Quantum Materials Database. Energies are from PBE-GGA.

```
data_NiBPd
_chemical_formula_sum 'Ni4 B4 Pd4'
_symmetry_space_group_name_H-M 'F -4 3 m'
_symmetry_Int_Tables_number 216
_symmetry_space_group_name_Hall 'F -4 2 3'
_cell_length_a 5.341
_cell_length_b 5.341
_cell_length_c 5.341
_cell_angle_alpha 90.00
_cell_angle_beta 90.00
_cell_angle_gamma 90.00
loop_
_atom_site_label
_atom_site_type_symbol
_atom_site_fract_x
_atom_site_fract_y
_atom_site_fract_z
_atom_site_occupancy
Ni1 Ni 0.000 0.000 0.000 1
B1 B 0.250 0.250 0.750 1
Pd1 Pd 0.250 0.250 0.250 1
```

Results
Calculated total energy, eV per cell: -61.22


[7]
Here is crystalline Ni2BPd2 at its relaxed geometry from the Open Quantum Materials Database. Energies are from PBE-GGA.

```
data_Ni2BPd2
_chemical_formula_sum 'Ni4 B2 Pd4'
_symmetry_space_group_name_H-M 'I 4/m m m'
_symmetry_Int_Tables_number 139
_symmetry_space_group_name_Hall '-I 4 2'
_cell_length_a 3.516
_cell_length_b 3.516
_cell_length_c 11.860
_cell_angle_alpha 90.00
_cell_angle_beta 90.00
_cell_angle_gamma 90.00
loop_
_atom_site_label
_atom_site_type_symbol
_atom_site_fract_x
_atom_site_fract_y
_atom_site_fract_z
_atom_site_occupancy
Ni1 Ni 0.000 0.000 0.092 1
B1 B 0.000 0.000 0.500 1
Pd1 Pd 0.000 0.500 0.250 1
```

Results
Calculated total energy, eV per cell: -45.50


[8]
Here is crystalline NiBPd2 at its relaxed geometry from the Open Quantum Materials Database. Energies are from PBE-GGA.

```
data_NiBPd2
_chemical_formula_sum 'Ni4 B4 Pd8'
_symmetry_space_group_name_H-M 'F -4 3 m'
_symmetry_Int_Tables_number 216
_symmetry_space_group_name_Hall 'F -4 2 3'
_cell_length_a 5.835
_cell_length_b 5.835
_cell_length_c 5.835
_cell_angle_alpha 90.00
_cell_angle_beta 90.00
_cell_angle_gamma 90.00
loop_
_atom_site_label
_atom_site_type_symbol
_atom_site_fract_x
_atom_site_fract_y
_atom_site_fract_z
_atom_site_occupancy
Ni1 Ni 0.000 0.000 0.000 1
B1 B 0.250 0.250 0.750 1
Pd1 Pd 0.000 0.000 0.500 1
Pd2 Pd 0.250 0.250 0.250 1
```

Results
Calculated total energy, eV per cell: -83.21


[9]
Here is crystalline NiB2Pd2 at its relaxed geometry from the Open Quantum Materials Database. Energies are from PBE-GGA.

```
data_NiB2Pd2
_chemical_formula_sum 'Ni2 B4 Pd4'
_symmetry_space_group_name_H-M 'I 4/m m m'
_symmetry_Int_Tables_number 139
_symmetry_space_group_name_Hall '-I 4 2'
_cell_length_a 3.720
_cell_length_b 3.720
_cell_length_c 8.230
_cell_angle_alpha 90.00
_cell_angle_beta 90.00
_cell_angle_gamma 90.00
loop_
_atom_site_label
_atom_site_type_symbol
_atom_site_fract_x
_atom_site_fract_y
_atom_site_fract_z
_atom_site_occupancy
Ni1 Ni 0.000 0.000 0.000 1
B1 B 0.000 0.000 0.397 1
Pd1 Pd 0.000 0.500 0.250 1
```

Results
Calculated total energy, eV per cell: -57.57


[10]
Here is crystalline PrNi3BPd at its relaxed geometry from the Open Quantum Materials Database. Energies are from PBE-GGA.

```
data_PrNi3BPd
_chemical_formula_sum 'Pr2 Ni6 B2 Pd2'
_symmetry_space_group_name_H-M 'P 6/m m m'
_symmetry_Int_Tables_number 191
_symmetry_space_group_name_Hall '-P 6 2'
_cell_length_a 5.1838
_cell_length_b 5.1838
_cell_length_c 7.2191
_cell_angle_alpha 90.00
_cell_angle_beta 90.00
_cell_angle_gamma 120.00
loop_
_atom_site_label
_atom_site_type_symbol
_atom_site_fract_x
_atom_site_fract_y
_atom_site_fract_z
_atom_site_occupancy
Pr1 Pr 0.0000 0.0000 0.0000 1
Pr2 Pr 0.0000 0.0000 0.5000 1
Ni1 Ni 0.0000 0.5000 0.1931 1
B1 B 0.3333 0.6667 0.0000 1
Pd1 Pd 0.3333 0.6667 0.5000 1
```

Results
Calculated total energy, eV per cell: -72.69


[11]
Here is crystalline PrNiBPd3 at its relaxed geometry from the Open Quantum Materials Database. Energies are from PBE-GGA.

```
data_PrNiBPd3
_chemical_formula_sum 'Pr2 Ni2 B2 Pd6'
_symmetry_space_group_name_H-M 'P 6/m m m'
_symmetry_Int_Tables_number 191
_symmetry_space_group_name_Hall '-P 6 2'
_cell_length_a 5.4655
_cell_length_b 5.4655
_cell_length_c 7.3792
_cell_angle_alpha 90.00
_cell_angle_beta 90.00
_cell_angle_gamma 120.00
loop_
_atom_site_label
_atom_site_type_symbol
_atom_site_fract_x
_atom_site_fract_y
_atom_site_fract_z
_atom_site_occupancy
Pr1 Pr 0.0000 0.0000 0.0000 1
Pr2 Pr 0.0000 0.0000 0.5000 1
Ni1 Ni 0.3333 0.6667 0.0000 1
B1 B 0.3333 0.6667 0.5000 1
Pd1 Pd 0.0000 0.5000 0.2924 1
```

Results
Calculated total energy, eV per cell: -71.09


[12]
Here is crystalline ReNiBPd at its relaxed geometry from the Open Quantum Materials Database. Energies are from PBE-GGA.

```
data_ReNiBPd
_chemical_formula_sum 'Re4 Ni4 B4 Pd4'
_symmetry_space_group_name_H-M 'F -4 3 m'
_symmetry_Int_Tables_number 216
_symmetry_space_group_name_Hall 'F -4 2 3'
_cell_length_a 5.715
_cell_length_b 5.715
_cell_length_c 5.715
_cell_angle_alpha 90.00
_cell_angle_beta 90.00
_cell_angle_gamma 90.00
loop_
_atom_site_label
_atom_site_type_symbol
_atom_site_fract_x
_atom_site_fract_y
_atom_site_fract_z
_atom_site_occupancy
Re1 Re 0.000 0.000 0.000 1
Ni1 Ni 0.250 0.250 0.250 1
B1 B 0.250 0.250 0.750 1
Pd1 Pd 0.000 0.000 0.500 1
```

Results
Energy relative to the lowest polymorph listed for this composition, meV per atom: 0.0